This record from Alexandria describes an optimized crystal structure of FeCo2F8. The functional is GGA+U.

Values from the calculation:
symmetry = C2/m, No. 12
N(E_F) = 3.2 states/eV/f.u.
final energy = -4.827 eV per atom

Lattice parameters (Å, degrees): 2.974 5.285 9.818 76.69 98.71 90.00
Each line ends with the local moment (μB).
Fractional coordinates of all 11 atoms:
F: 0.966 0.818 0.932  0.16
Fe: 0.500 0.000 0.000  4.46
F: 0.719 0.689 0.437  0.16
F: 0.589 0.737 0.179  0.13
Co: 0.828 0.482 0.657  3.04
F: 0.411 0.263 0.821  0.13
F: 0.281 0.311 0.563  0.16
F: 0.662 0.293 0.324  0.20
F: 0.338 0.707 0.676  0.20
F: 0.034 0.182 0.068  0.16
Co: 0.172 0.518 0.343  3.04